# 1
## LaTc2PN2 (PBE)

Data for crystalline LaTc2PN2 at its relaxed geometry.

Cell lengths 6.309, 5.427, 6.657 Å; angles 90.00, 107.19, 90.00 degrees
Fractional coordinates of all 12 atoms:
La  0.159  0.250  0.272
La  0.841  0.750  0.728
Tc  0.362  0.502  0.794
Tc  0.362  0.998  0.794
Tc  0.638  0.002  0.206
Tc  0.638  0.498  0.206
P  0.298  0.750  0.066
P  0.702  0.250  0.934
N  0.164  0.250  0.650
N  0.455  0.750  0.634
N  0.545  0.250  0.366
N  0.836  0.750  0.350

The uncorrected formation energy comes out at -546 meV/atom.

# 2
## Li6TlZn2 (PBE)

Data for crystalline Li6TlZn2 at its relaxed geometry.

Cell lengths 7.864, 7.864, 2.839 Å; angles 90.01, 90.01, 59.72 degrees
Fractional coordinates of all 9 atoms:
Li  0.162  0.500  0.006
Li  0.162  0.838  0.000
Li  0.500  0.162  0.006
Li  0.500  0.838  0.994
Li  0.838  0.162  0.000
Li  0.838  0.500  0.994
Tl  0.500  0.500  0.500
Zn  0.167  0.167  0.500
Zn  0.833  0.833  0.500

For the calculated formation energy, the calculation gives -0.13 eV per atom. The calculation puts the distance to the lowest polymorph of the same formula at 28 meV per atom.